8
Lattice="5.2397 0.0000 0.0000 0.0000 5.2397 0.0000 0.0000 0.0000 9.9830" Properties=species:S:1:pos:R:3 comment="CsNaHg6 (PBE, optimized geometry)" polymorph_energy_mev_per_atom=0 space_group="No. 123" ef_kcal_per_mol_atoms=-4.0 energy_ev_per_cell=-5.39 pbc="T T T"
Hg 2.6198 2.6198 1.5675
Hg 2.6198 2.6198 8.4156
Hg 0.0000 2.6198 6.6685
Hg 0.0000 2.6198 3.3145
Na 0.0000 0.0000 4.9915
Cs 0.0000 0.0000 0.0000
Hg 2.6198 0.0000 3.3145
Hg 2.6198 0.0000 6.6685